NdNi2TeO6, relaxed, DFT PBE with a Hubbard U; DOS(E_F) = 1.7 states/eV/cell; uncorrected energy = -58.59 eV for the cell shown; crystal system = trigonal; calculated volume = 12.41 Å³ per atom
1.0
-3.9317 0.8077 -3.7552
0.3188 -2.4854 -4.8922
-3.6137 -4.2650 -1.1574
Ni Nd O Te
2 1 6 1
direct
0.0133 0.0133 0.9601
0.5240 0.5240 0.4281
0.7948 0.7949 0.6155
0.3616 0.7118 0.7598
0.7118 0.1667 0.7598
0.2434 0.9031 0.2274
0.6260 0.2434 0.2274
0.9032 0.6261 0.2274
0.1668 0.3617 0.7598
0.3166 0.3166 0.0501